An optimized crystal structure of Ac8InIr3I4, computed with PBE.

Cell and atoms, written as POSCAR:
```
Ac8InIr3I4
1.0
-5.442 -4.855 -5.359
8.022 -4.377 -4.180
-0.772 -0.631 8.997
Ir Ac I In
3 8 4 1
Direct
0.000 0.500 0.500
0.500 0.500 0.000
0.500 0.500 0.500
0.758 0.313 0.055
0.729 0.688 0.459
0.703 0.687 0.945
0.242 0.687 0.484
0.297 0.313 0.055
0.758 0.313 0.516
0.242 0.687 0.945
0.271 0.312 0.541
0.500 0.000 0.500
0.000 0.000 0.000
0.000 0.000 0.500
0.500 0.000 0.000
0.000 0.500 0.000
```

Calculated values
For the formation energy without anion corrections, the calculation gives -0.93 eV per atom. The total energy is -5.2071 eV per atom. Its space group is C2/m. The density of states at the Fermi level is 11.2 states/eV/f.u. The size of the total moment is 0.00 μB per cell.

***

An optimized crystal structure of Ac6In2IrI3, computed with PBE.

Cell and atoms, written as POSCAR:
```
Ac6In2IrI3
1.0
-7.444 0.038 2.788
1.015 -4.121 -6.721
3.546 -5.584 5.597
Ir Ac I In
1 6 3 2
Direct
0.000 0.000 0.000
0.209 0.209 0.771
0.371 0.060 0.195
0.940 0.629 0.805
0.629 0.940 0.805
0.060 0.371 0.195
0.791 0.791 0.229
0.500 0.500 0.500
0.812 0.188 0.500
0.188 0.812 0.500
0.645 0.355 0.000
0.355 0.645 0.000
```

Calculated values
For the formation energy without anion corrections, the calculation gives -0.77 eV per atom. The total energy is -4.4075 eV per atom. Its space group is C2/m. The density of states at the Fermi level is 9.8 states/eV/f.u. The size of the total moment is 0.00 μB per cell.

***

An optimized crystal structure of AcLaInI, computed with PBE.

Cell and atoms, written as POSCAR:
```
AcLaInI
1.0
5.771 0.000 0.000
2.886 4.998 0.000
2.886 1.666 4.712
La In I Ac
1 1 1 1
Direct
0.750 0.750 0.750
0.500 0.500 0.500
0.000 0.000 0.000
0.250 0.250 0.250
```

Calculated values
For the formation energy without anion corrections, the calculation gives -0.61 eV per atom. The total energy is -3.9424 eV per atom. Its space group is F-43m. The density of states at the Fermi level is 3.0 states/eV/f.u. The size of the total moment is 0.00 μB per cell.